{
  "formula": "HgBi3",
  "functional": "GGA-PBE",
  "state": "optimized geometry",
  "lattice_angstrom": [[9.689, 0.000, 0.000], [0.000, 4.283, 0.000], [0.000, 0.000, 12.400]],
  "species": ["Bi", "Bi", "Bi", "Bi", "Bi", "Bi", "Bi", "Bi", "Bi", "Bi", "Bi", "Bi", "Hg", "Hg", "Hg", "Hg"],
  "fractional_positions": [[0.050, 0.750, 0.093], [0.729, 0.750, 0.160], [0.431, 0.250, 0.230], [0.931, 0.250, 0.270], [0.229, 0.750, 0.340], [0.550, 0.750, 0.407], [0.450, 0.250, 0.593], [0.771, 0.250, 0.660], [0.069, 0.750, 0.730], [0.569, 0.750, 0.770], [0.271, 0.250, 0.840], [0.950, 0.250, 0.907], [0.381, 0.750, 0.029], [0.881, 0.750, 0.471], [0.119, 0.250, 0.529], [0.619, 0.250, 0.971]],
  "dft_energy_ev_per_cell": -48.1
}



{
  "formula": "TlCoB4",
  "functional": "GGA-PBE",
  "state": "optimized geometry",
  "lattice_angstrom": [[3.036, 0.000, 0.000], [-1.518, 2.630, 0.000], [0.000, 0.000, 8.327]],
  "species": ["B", "B", "B", "B", "Co", "Tl"],
  "fractional_positions": [[0.667, 0.333, 0.163], [0.333, 0.667, 0.163], [0.667, 0.333, 0.837], [0.333, 0.667, 0.837], [0.000, 0.000, 0.000], [0.000, 0.000, 0.500]],
  "polymorph_energy_ev_per_atom": 0.000
}



{
  "formula": "Fe3Bi2Se2",
  "functional": "GGA-PBE",
  "state": "optimized geometry",
  "lattice_angstrom": [[5.351, -4.115, 0.000], [5.351, 4.115, 0.000], [-5.159, 0.000, 6.602]],
  "species": ["Bi", "Bi", "Bi", "Bi", "Fe", "Fe", "Fe", "Fe", "Fe", "Fe", "Se", "Se", "Se", "Se"],
  "fractional_positions": [[0.985, 0.985, 0.213], [0.491, 0.491, 0.244], [0.509, 0.509, 0.756], [0.015, 0.015, 0.787], [0.500, 0.000, 0.000], [0.738, 0.262, 0.000], [0.000, 0.500, 0.000], [0.262, 0.738, 0.000], [0.709, 0.709, 0.162], [0.291, 0.291, 0.838], [0.506, 0.030, 0.297], [0.030, 0.506, 0.297], [0.970, 0.494, 0.703], [0.494, 0.970, 0.703]],
  "dft_energy_ev_per_cell": -81.0
}



{
  "formula": "GePOsO",
  "functional": "GGA-PBE",
  "state": "optimized geometry",
  "lattice_angstrom": [[4.243, 0.000, 0.000], [0.000, 4.243, 0.000], [0.000, 0.000, 6.820]],
  "species": ["Ge", "Ge", "O", "O", "Os", "Os", "P", "P"],
  "fractional_positions": [[0.500, 0.000, 0.500], [0.000, 0.500, 0.500], [0.500, 0.000, 0.000], [0.000, 0.500, 0.000], [0.000, 0.000, 0.312], [0.500, 0.500, 0.688], [0.500, 0.500, 0.023], [0.000, 0.000, 0.977]],
  "polymorph_energy_ev_per_atom": 0.712
}



{
  "formula": "Dy7Ho",
  "functional": "GGA-PBE",
  "state": "optimized geometry",
  "lattice_angstrom": [[7.198, 0.000, 0.000], [-3.599, 6.234, 0.000], [0.000, 0.000, 5.608]],
  "species": ["Dy", "Dy", "Dy", "Dy", "Dy", "Dy", "Dy", "Ho"],
  "fractional_positions": [[0.500, 0.001, 0.000], [0.500, 0.500, 0.000], [0.999, 0.500, 0.000], [0.334, 0.167, 0.500], [0.833, 0.167, 0.500], [0.833, 0.666, 0.500], [0.333, 0.667, 0.500], [0.000, 0.000, 0.000]],
  "e_form_ev_per_fu": 0.1
}



{
  "formula": "NbSn2O4",
  "functional": "GGA-PBE",
  "state": "optimized geometry",
  "lattice_angstrom": [[4.909, -4.910, 0.000], [-4.909, 0.000, -4.910], [4.909, 4.910, 0.000]],
  "species": ["Nb", "Nb", "O", "O", "O", "O", "O", "O", "O", "O", "Sn", "Sn", "Sn", "Sn"],
  "fractional_positions": [[0.000, 0.000, 0.000], [0.750, 0.500, 0.250], [0.111, 0.221, 0.332], [0.639, 0.279, 0.361], [0.082, 0.721, 0.361], [0.639, 0.721, 0.361], [0.111, 0.779, 0.889], [0.111, 0.221, 0.889], [0.668, 0.779, 0.889], [0.639, 0.279, 0.918], [0.375, 0.750, 0.125], [0.875, 0.250, 0.625], [0.375, 0.750, 0.625], [0.375, 0.250, 0.625]],
  "dft_energy_ev_per_cell": -97.9
}



What did we get for V? Answer: 32.2, 11.1, 20.8, 15.3, 31.5, 16.9 A^3/atom, in the order shown.